# AlPPb (meta-GGA SCAN, single point on PBEsol structure)
# ΔE_f in meV/atom: -111
# Density in g cm⁻³: 6.68
# Symmetry: P3m1 (156)
# Offset from the most stable computed form in kJ/mol of atoms: 0.0
# Crystal system: trigonal
data_AlPPb
_chemical_formula_sum 'Al1 P1 Pb1'
_space_group_name_H-M_alt 'P 1'
_space_group_IT_number 1
_cell_length_a 3.746
_cell_length_b 3.746
_cell_length_c 5.421
_cell_angle_alpha 90.00
_cell_angle_beta 90.00
_cell_angle_gamma 120.00
loop_
_space_group_symop_operation_xyz
'x,y,z'
loop_
_atom_site_label
_atom_site_type_symbol
_atom_site_fract_x
_atom_site_fract_y
_atom_site_fract_z
Al1 Al 0.000 0.000 0.000
P1 P 0.333 0.667 0.185
Pb1 Pb 0.667 0.333 0.581

# Be2AgTe (meta-GGA SCAN, single point on PBEsol structure)
# Raw formation energy in eV/atom: 0.600
# Density in g cm⁻³: 6.59
# Symmetry: Cmmm (65)
# Crystal system: orthorhombic
data_Be2AgTe
_chemical_formula_sum 'Be2 Ag1 Te1'
_space_group_name_H-M_alt 'P 1'
_space_group_IT_number 1
_cell_length_a 4.397
_cell_length_b 4.397
_cell_length_c 3.432
_cell_angle_alpha 90.00
_cell_angle_beta 90.00
_cell_angle_gamma 105.86
loop_
_space_group_symop_operation_xyz
'x,y,z'
loop_
_atom_site_label
_atom_site_type_symbol
_atom_site_fract_x
_atom_site_fract_y
_atom_site_fract_z
Be1 Be 0.000 0.500 0.000
Be2 Be 0.500 0.000 0.000
Ag1 Ag 0.000 0.000 0.500
Te1 Te 0.500 0.500 0.500

# LaSi3Tc (meta-GGA SCAN, single point on PBEsol structure)
# Raw formation energy in eV/atom: 2.119
# Density in g cm⁻³: 3.69
# Symmetry: Pm-3m (221)
# Crystal system: cubic
data_LaSi3Tc
_chemical_formula_sum 'La1 Si3 Tc1'
_space_group_name_H-M_alt 'P 1'
_space_group_IT_number 1
_cell_length_a 5.249
_cell_length_b 5.249
_cell_length_c 5.249
_cell_angle_alpha 90.00
_cell_angle_beta 90.00
_cell_angle_gamma 90.00
loop_
_space_group_symop_operation_xyz
'x,y,z'
loop_
_atom_site_label
_atom_site_type_symbol
_atom_site_fract_x
_atom_site_fract_y
_atom_site_fract_z
La1 La 0.000 0.000 0.000
Si1 Si 0.000 0.000 0.500
Si2 Si 0.000 0.500 0.000
Si3 Si 0.500 0.000 0.000
Tc1 Tc 0.500 0.500 0.500

# LiTl5 (meta-GGA SCAN, single point on PBEsol structure)
# ΔE_f in meV/atom: -58
# Density in g cm⁻³: 10.69
# Symmetry: Amm2 (38)
# Offset from the most stable computed form in kJ/mol of atoms: 2.2
# Crystal system: orthorhombic
data_LiTl5
_chemical_formula_sum 'Li1 Tl5'
_space_group_name_H-M_alt 'P 1'
_space_group_IT_number 1
_cell_length_a 5.351
_cell_length_b 8.548
_cell_length_c 8.548
_cell_angle_alpha 24.12
_cell_angle_beta 90.00
_cell_angle_gamma 90.00
loop_
_space_group_symop_operation_xyz
'x,y,z'
loop_
_atom_site_label
_atom_site_type_symbol
_atom_site_fract_x
_atom_site_fract_y
_atom_site_fract_z
Li1 Li 0.000 0.000 0.000
Tl1 Tl 0.000 0.340 0.340
Tl2 Tl 0.000 0.664 0.664
Tl3 Tl 0.500 0.117 0.117
Tl4 Tl 0.500 0.458 0.458
Tl5 Tl 0.500 0.788 0.788

# CoIrOs2 (meta-GGA SCAN, single point on PBEsol structure)
# ΔE_f in meV/atom: 121
# Density in g cm⁻³: 19.99
# Symmetry: Pmm2 (25)
# Offset from the most stable computed form in kJ/mol of atoms: 0.0
# Crystal system: orthorhombic
data_CoIrOs2
_chemical_formula_sum 'Co1 Ir1 Os2'
_space_group_name_H-M_alt 'P 1'
_space_group_IT_number 1
_cell_length_a 2.670
_cell_length_b 3.718
_cell_length_c 5.284
_cell_angle_alpha 90.00
_cell_angle_beta 90.00
_cell_angle_gamma 90.00
loop_
_space_group_symop_operation_xyz
'x,y,z'
loop_
_atom_site_label
_atom_site_type_symbol
_atom_site_fract_x
_atom_site_fract_y
_atom_site_fract_z
Co1 Co 0.000 0.000 0.000
Ir1 Ir 0.500 0.500 0.243
Os1 Os 0.000 0.000 0.507
Os2 Os 0.500 0.500 0.760

# BeCo2Si (meta-GGA SCAN, single point on PBEsol structure)
# Raw formation energy in eV/atom: -0.172
# Density in g cm⁻³: 6.59
# Symmetry: Pmm2 (25)
# Offset from the most stable computed form in kJ/mol of atoms: 40.6
# Crystal system: orthorhombic
data_BeCo2Si
_chemical_formula_sum 'Be1 Co2 Si1'
_space_group_name_H-M_alt 'P 1'
_space_group_IT_number 1
_cell_length_a 2.523
_cell_length_b 3.263
_cell_length_c 4.745
_cell_angle_alpha 90.00
_cell_angle_beta 90.00
_cell_angle_gamma 90.00
loop_
_space_group_symop_operation_xyz
'x,y,z'
loop_
_atom_site_label
_atom_site_type_symbol
_atom_site_fract_x
_atom_site_fract_y
_atom_site_fract_z
Be1 Be 0.000 0.000 0.000
Co1 Co 0.000 0.000 0.494
Co2 Co 0.500 0.500 0.190
Si1 Si 0.500 0.500 0.715

# HfZnAgSe2 (meta-GGA SCAN, single point on PBEsol structure)
# Raw formation energy in eV/atom: 0.081
# Density in g cm⁻³: 6.14
# Symmetry: P4/mmm (123)
# Crystal system: tetragonal
data_HfZnAgSe2
_chemical_formula_sum 'Hf1 Zn1 Ag1 Se2'
_space_group_name_H-M_alt 'P 1'
_space_group_IT_number 1
_cell_length_a 5.011
_cell_length_b 5.011
_cell_length_c 5.489
_cell_angle_alpha 90.00
_cell_angle_beta 90.00
_cell_angle_gamma 90.00
loop_
_space_group_symop_operation_xyz
'x,y,z'
loop_
_atom_site_label
_atom_site_type_symbol
_atom_site_fract_x
_atom_site_fract_y
_atom_site_fract_z
Hf1 Hf 0.000 0.000 0.000
Zn1 Zn 0.500 0.500 0.500
Ag1 Ag 0.000 0.000 0.500
Se1 Se 0.000 0.500 0.000
Se2 Se 0.500 0.000 0.000

# Li2HfInPd (meta-GGA SCAN, single point on PBEsol structure)
# ΔE_f in meV/atom: 663
# Density in g cm⁻³: 6.25
# Symmetry: P4/mmm (123)
# Crystal system: tetragonal
data_Li2HfInPd
_chemical_formula_sum 'Li2 Hf1 In1 Pd1'
_space_group_name_H-M_alt 'P 1'
_space_group_IT_number 1
_cell_length_a 4.527
_cell_length_b 4.527
_cell_length_c 5.359
_cell_angle_alpha 90.00
_cell_angle_beta 90.00
_cell_angle_gamma 90.00
loop_
_space_group_symop_operation_xyz
'x,y,z'
loop_
_atom_site_label
_atom_site_type_symbol
_atom_site_fract_x
_atom_site_fract_y
_atom_site_fract_z
Li1 Li 0.000 0.500 0.000
Li2 Li 0.500 0.000 0.000
Hf1 Hf 0.000 0.000 0.500
In1 In 0.000 0.000 0.000
Pd1 Pd 0.500 0.500 0.500

# BP (meta-GGA SCAN, single point on PBEsol structure)
# ΔE_f in meV/atom: -512
# Density in g cm⁻³: 3.00
# Symmetry: P6_3mc (186)
# Crystal system: hexagonal
data_BP
_chemical_formula_sum 'B2 P2'
_space_group_name_H-M_alt 'P 1'
_space_group_IT_number 1
_cell_length_a 3.180
_cell_length_b 3.180
_cell_length_c 5.276
_cell_angle_alpha 90.00
_cell_angle_beta 90.00
_cell_angle_gamma 120.00
loop_
_space_group_symop_operation_xyz
'x,y,z'
loop_
_atom_site_label
_atom_site_type_symbol
_atom_site_fract_x
_atom_site_fract_y
_atom_site_fract_z
B1 B 0.333 0.667 0.000
B2 B 0.667 0.333 0.500
P1 P 0.333 0.667 0.626
P2 P 0.667 0.333 0.126

# Ba2CaAg (meta-GGA SCAN, single point on PBEsol structure)
# ΔE_f in meV/atom: -111
# Density in g cm⁻³: 4.42
# Symmetry: P4mm (99)
# Offset from the most stable computed form in kJ/mol of atoms: 0.1
# Crystal system: tetragonal
data_Ba2CaAg
_chemical_formula_sum 'Ba2 Ca1 Ag1'
_space_group_name_H-M_alt 'P 1'
_space_group_IT_number 1
_cell_length_a 3.960
_cell_length_b 3.960
_cell_length_c 10.116
_cell_angle_alpha 90.00
_cell_angle_beta 90.00
_cell_angle_gamma 90.00
loop_
_space_group_symop_operation_xyz
'x,y,z'
loop_
_atom_site_label
_atom_site_type_symbol
_atom_site_fract_x
_atom_site_fract_y
_atom_site_fract_z
Ba1 Ba 0.000 0.000 0.000
Ba2 Ba 0.500 0.500 0.345
Ca1 Ca 0.000 0.000 0.646
Ag1 Ag 0.500 0.500 0.794

# Be2ReIr (meta-GGA SCAN, single point on PBEsol structure)
# ΔE_f in meV/atom: -357
# Density in g cm⁻³: 15.14
# Symmetry: Amm2 (38)
# Offset from the most stable computed form in kJ/mol of atoms: 0.0
# Crystal system: orthorhombic
data_Be2ReIr
_chemical_formula_sum 'Be2 Re1 Ir1'
_space_group_name_H-M_alt 'P 1'
_space_group_IT_number 1
_cell_length_a 3.762
_cell_length_b 4.438
_cell_length_c 4.438
_cell_angle_alpha 35.92
_cell_angle_beta 90.00
_cell_angle_gamma 90.00
loop_
_space_group_symop_operation_xyz
'x,y,z'
loop_
_atom_site_label
_atom_site_type_symbol
_atom_site_fract_x
_atom_site_fract_y
_atom_site_fract_z
Be1 Be 0.000 0.000 0.000
Be2 Be 0.500 0.149 0.149
Re1 Re 0.000 0.728 0.728
Ir1 Ir 0.500 0.426 0.426

# Na2Pt (meta-GGA SCAN, single point on PBEsol structure)
# ΔE_f in meV/atom: -200
# Density in g cm⁻³: 7.08
# Symmetry: Immm (71)
# Crystal system: orthorhombic
data_Na2Pt
_chemical_formula_sum 'Na2 Pt1'
_space_group_name_H-M_alt 'P 1'
_space_group_IT_number 1
_cell_length_a 5.170
_cell_length_b 5.170
_cell_length_c 5.170
_cell_angle_alpha 149.00
_cell_angle_beta 126.63
_cell_angle_gamma 63.02
loop_
_space_group_symop_operation_xyz
'x,y,z'
loop_
_atom_site_label
_atom_site_type_symbol
_atom_site_fract_x
_atom_site_fract_y
_atom_site_fract_z
Na1 Na 0.160 0.160 0.000
Na2 Na 0.840 0.840 0.000
Pt1 Pt 0.500 0.500 0.000

# ZrTlCl (meta-GGA SCAN, single point on PBEsol structure)
# Raw formation energy in eV/atom: -0.799
# Density in g cm⁻³: 7.70
# Symmetry: P3m1 (156)
# Crystal system: trigonal
data_ZrTlCl
_chemical_formula_sum 'Zr1 Tl1 Cl1'
_space_group_name_H-M_alt 'P 1'
_space_group_IT_number 1
_cell_length_a 3.259
_cell_length_b 3.259
_cell_length_c 7.760
_cell_angle_alpha 90.00
_cell_angle_beta 90.00
_cell_angle_gamma 120.00
loop_
_space_group_symop_operation_xyz
'x,y,z'
loop_
_atom_site_label
_atom_site_type_symbol
_atom_site_fract_x
_atom_site_fract_y
_atom_site_fract_z
Zr1 Zr 0.000 0.000 0.000
Tl1 Tl 0.333 0.667 0.323
Cl1 Cl 0.667 0.333 0.775

# KTcSb2 (meta-GGA SCAN, single point on PBEsol structure)
# Raw formation energy in eV/atom: 0.634
# Density in g cm⁻³: 7.13
# Symmetry: C2/m (12)
# Offset from the most stable computed form in kJ/mol of atoms: 80.4
# Crystal system: monoclinic
data_KTcSb2
_chemical_formula_sum 'K1 Tc1 Sb2'
_space_group_name_H-M_alt 'P 1'
_space_group_IT_number 1
_cell_length_a 5.351
_cell_length_b 5.351
_cell_length_c 3.252
_cell_angle_alpha 94.91
_cell_angle_beta 94.91
_cell_angle_gamma 106.04
loop_
_space_group_symop_operation_xyz
'x,y,z'
loop_
_atom_site_label
_atom_site_type_symbol
_atom_site_fract_x
_atom_site_fract_y
_atom_site_fract_z
K1 K 0.000 0.000 0.000
Tc1 Tc 0.500 0.500 0.000
Sb1 Sb 0.000 0.500 0.500
Sb2 Sb 0.500 0.000 0.500

# NaCuI2 (meta-GGA SCAN, single point on PBEsol structure)
# Raw formation energy in eV/atom: -0.701
# Density in g cm⁻³: 4.26
# Symmetry: I-42d (122)
# Crystal system: tetragonal
data_NaCuI2
_chemical_formula_sum 'Na2 Cu2 I4'
_space_group_name_H-M_alt 'P 1'
_space_group_IT_number 1
_cell_length_a 7.466
_cell_length_b 7.466
_cell_length_c 7.466
_cell_angle_alpha 125.58
_cell_angle_beta 125.58
_cell_angle_gamma 80.57
loop_
_space_group_symop_operation_xyz
'x,y,z'
loop_
_atom_site_label
_atom_site_type_symbol
_atom_site_fract_x
_atom_site_fract_y
_atom_site_fract_z
Na1 Na 0.000 0.000 0.000
Na2 Na 0.750 0.250 0.500
Cu1 Cu 0.250 0.750 0.500
Cu2 Cu 0.500 0.500 0.000
I1 I 0.183 0.125 0.558
I2 I 0.375 0.817 0.942
I3 I 0.567 0.625 0.442
I4 I 0.875 0.433 0.058

# Te8Ir3 (meta-GGA SCAN, single point on PBEsol structure)
# Raw formation energy in eV/atom: -0.326
# Density in g cm⁻³: 10.11
# Symmetry: P-1 (2)
# Crystal system: triclinic
data_Te8Ir3
_chemical_formula_sum 'Te24 Ir9'
_space_group_name_H-M_alt 'P 1'
_space_group_IT_number 1
_cell_length_a 8.995
_cell_length_b 9.051
_cell_length_c 11.140
_cell_angle_alpha 89.47
_cell_angle_beta 89.94
_cell_angle_gamma 60.22
loop_
_space_group_symop_operation_xyz
'x,y,z'
loop_
_atom_site_label
_atom_site_type_symbol
_atom_site_fract_x
_atom_site_fract_y
_atom_site_fract_z
Te1 Te 0.001 0.493 0.130
Te2 Te 0.023 0.242 0.376
Te3 Te 0.078 0.085 0.708
Te4 Te 0.079 0.826 0.958
Te5 Te 0.254 0.493 0.374
Te6 Te 0.265 0.252 0.624
Te7 Te 0.323 0.085 0.960
Te8 Te 0.329 0.585 0.708
Te9 Te 0.333 0.838 0.203
Te10 Te 0.342 0.833 0.463
Te11 Te 0.414 0.411 0.045
Te12 Te 0.437 0.145 0.297
Te13 Te 0.563 0.855 0.703
Te14 Te 0.586 0.589 0.955
Te15 Te 0.658 0.167 0.537
Te16 Te 0.667 0.162 0.797
Te17 Te 0.671 0.415 0.292
Te18 Te 0.677 0.915 0.040
Te19 Te 0.735 0.748 0.376
Te20 Te 0.746 0.507 0.626
Te21 Te 0.921 0.174 0.042
Te22 Te 0.922 0.915 0.292
Te23 Te 0.977 0.758 0.624
Te24 Te 0.999 0.507 0.870
Ir1 Ir 0.000 0.000 0.500
Ir2 Ir 0.000 0.500 0.500
Ir3 Ir 0.169 0.666 0.168
Ir4 Ir 0.329 0.834 0.834
Ir5 Ir 0.333 0.334 0.835
Ir6 Ir 0.500 0.500 0.500
Ir7 Ir 0.667 0.666 0.165
Ir8 Ir 0.671 0.166 0.166
Ir9 Ir 0.831 0.334 0.832

# LiTlCu2 (meta-GGA SCAN, single point on PBEsol structure)
# ΔE_f in meV/atom: 46
# Density in g cm⁻³: 9.37
# Symmetry: Pmm2 (25)
# Crystal system: orthorhombic
data_LiTlCu2
_chemical_formula_sum 'Li1 Tl1 Cu2'
_space_group_name_H-M_alt 'P 1'
_space_group_IT_number 1
_cell_length_a 3.032
_cell_length_b 3.293
_cell_length_c 6.006
_cell_angle_alpha 90.00
_cell_angle_beta 90.00
_cell_angle_gamma 90.00
loop_
_space_group_symop_operation_xyz
'x,y,z'
loop_
_atom_site_label
_atom_site_type_symbol
_atom_site_fract_x
_atom_site_fract_y
_atom_site_fract_z
Li1 Li 0.000 0.000 0.000
Tl1 Tl 0.500 0.500 0.708
Cu1 Cu 0.000 0.000 0.416
Cu2 Cu 0.500 0.500 0.233

# AgRuPt2 (meta-GGA SCAN, single point on PBEsol structure)
# ΔE_f in meV/atom: 0
# Density in g cm⁻³: 16.71
# Symmetry: P4/mmm (123)
# Offset from the most stable computed form in kJ/mol of atoms: 0.0
# Crystal system: tetragonal
data_AgRuPt2
_chemical_formula_sum 'Ag1 Ru1 Pt2'
_space_group_name_H-M_alt 'P 1'
_space_group_IT_number 1
_cell_length_a 2.731
_cell_length_b 2.731
_cell_length_c 7.981
_cell_angle_alpha 90.00
_cell_angle_beta 90.00
_cell_angle_gamma 90.00
loop_
_space_group_symop_operation_xyz
'x,y,z'
loop_
_atom_site_label
_atom_site_type_symbol
_atom_site_fract_x
_atom_site_fract_y
_atom_site_fract_z
Ag1 Ag 0.000 0.000 0.000
Ru1 Ru 0.000 0.000 0.500
Pt1 Pt 0.500 0.500 0.269
Pt2 Pt 0.500 0.500 0.731

# TcIr2Ru (meta-GGA SCAN, single point on PBEsol structure)
# ΔE_f in meV/atom: -161
# Density in g cm⁻³: 17.56
# Symmetry: I4/mmm (139)
# Offset from the most stable computed form in kJ/mol of atoms: 0.8
# Crystal system: tetragonal
data_TcIr2Ru
_chemical_formula_sum 'Tc1 Ir2 Ru1'
_space_group_name_H-M_alt 'P 1'
_space_group_IT_number 1
_cell_length_a 4.670
_cell_length_b 4.670
_cell_length_c 4.670
_cell_angle_alpha 131.97
_cell_angle_beta 131.97
_cell_angle_gamma 70.28
loop_
_space_group_symop_operation_xyz
'x,y,z'
loop_
_atom_site_label
_atom_site_type_symbol
_atom_site_fract_x
_atom_site_fract_y
_atom_site_fract_z
Tc1 Tc 0.000 0.000 0.000
Ir1 Ir 0.250 0.750 0.500
Ir2 Ir 0.750 0.250 0.500
Ru1 Ru 0.500 0.500 0.000

# TaGe2CF (meta-GGA SCAN, single point on PBEsol structure)
# Raw formation energy in eV/atom: 0.853
# Density in g cm⁻³: 8.67
# Symmetry: P4/mmm (123)
# Crystal system: tetragonal
data_TaGe2CF
_chemical_formula_sum 'Ta1 Ge2 C1 F1'
_space_group_name_H-M_alt 'P 1'
_space_group_IT_number 1
_cell_length_a 4.246
_cell_length_b 4.246
_cell_length_c 3.797
_cell_angle_alpha 90.00
_cell_angle_beta 90.00
_cell_angle_gamma 90.00
loop_
_space_group_symop_operation_xyz
'x,y,z'
loop_
_atom_site_label
_atom_site_type_symbol
_atom_site_fract_x
_atom_site_fract_y
_atom_site_fract_z
Ta1 Ta 0.000 0.000 0.000
Ge1 Ge 0.000 0.500 0.500
Ge2 Ge 0.500 0.000 0.500
C1 C 0.500 0.500 0.500
F1 F 0.500 0.500 0.000